16
Lattice="6.364 -6.143 0.000 6.364 6.143 0.000 -3.237 0.000 5.551" Properties=species:S:1:pos:R:3 comment="Cd4In2HgPb | Alexandria | PBE-GGA | optimized geometry" delta_e_f_mev_per_atom=75 dos_at_fermi_per_ev_cell=7.32 total_energy_ev_per_cell=-25.099 pbc="T T T"
Cd 1.519 0.046 2.765
Cd 4.725 3.094 2.811
Cd 3.148 3.094 5.515
Cd -0.100 -0.046 5.540
Cd 9.591 0.046 0.011
Cd 6.343 -3.094 0.035
Cd 4.766 -3.094 2.740
Cd 7.973 -0.046 2.786
In 1.564 3.071 2.775
In 3.182 -3.071 0.000
In 6.364 0.000 0.000
In 4.746 0.000 2.775
Hg 0.000 0.000 0.000
Hg -1.619 0.000 2.775
Pb 3.182 3.071 0.000
Pb 1.564 -3.071 2.775